Material: YTc3B
Method: DFT, GGA-PBE
State: optimized geometry

polymorph energy (0 for the lowest one) = 0 meV per atom
density of states at the Fermi level = 1.96 states/eV per atom
formation enthalpy at 0 K = 0.04 eV/atom
M_tot = 0.17 μB/atom
SG = Pm-3m (221)
E = -44.02 eV/cell
ρ = 8.37 g/cm3

abc: 4.275 4.275 4.275
angles: 90.00 90.00 90.00
Atoms (fractional coordinates):
Tc1 0.000 0.000 0.500
Tc2 0.000 0.500 0.000
B1 0.000 0.000 0.000
Y1 0.500 0.500 0.500
Tc3 0.500 0.000 0.000

Material: PmY3Pd
Method: DFT, GGA-PBE
State: optimized geometry

polymorph energy (0 for the lowest one) = 0 meV per atom
density of states at the Fermi level = 1.22 states/eV per atom
formation enthalpy at 0 K = -0.31 eV/atom
M_tot = 0.00 μB/atom
SG = C2/c (15)
E = -123.57 eV/cell
ρ = 5.91 g/cm3

abc: 6.162 9.854 9.854
angles: 85.42 81.04 81.04
Atoms (fractional coordinates):
Y1 0.774 0.410 0.996
Y2 0.487 0.502 0.320
Pm1 0.250 0.204 0.796
Pd1 0.978 0.501 0.260
Y3 0.720 0.738 0.853
Y4 0.226 0.590 0.004
Y5 0.013 0.680 0.498
Pm2 0.750 0.066 0.934
Pm3 0.250 0.934 0.066
Y6 0.274 0.996 0.410
Y7 0.780 0.147 0.262
Pd2 0.022 0.499 0.740
Y8 0.987 0.320 0.502
Pm4 0.750 0.796 0.204
Y9 0.220 0.853 0.738
Pd3 0.522 0.740 0.499
Pd4 0.478 0.260 0.501
Y10 0.513 0.498 0.680
Y11 0.726 0.004 0.590
Y12 0.280 0.262 0.147

Material: SrSiTc2
Method: DFT, GGA-PBE
State: optimized geometry

ΔE_f (raw) = 3.6 eV/f.u.
density of states at the Fermi level = 1.09 states/eV per atom
M_tot = 0.00 μB/atom
SG = Cmmm (65)
E = -24.23 eV/cell
ρ = 7.32 g/cm3

abc: 5.350 5.350 2.661
angles: 90.00 90.00 111.80
Atoms (fractional coordinates):
Tc1 0.500 0.500 0.000
Tc2 0.000 0.000 0.000
Si1 0.500 0.000 0.500
Sr1 0.000 0.500 0.500

Material: In2SbSe2
Method: DFT, GGA-PBE
State: optimized geometry

ΔE_f (raw) = -0.5 eV/f.u.
density of states at the Fermi level = 0.63 states/eV per atom
M_tot = 0.00 μB/atom
SG = P4/mbm (127)
E = -34.11 eV/cell
ρ = 6.12 g/cm3

abc: 8.014 8.014 4.303
angles: 90.00 90.00 90.00
Atoms (fractional coordinates):
In1 0.359 0.141 0.500
Se1 0.822 0.678 0.000
Se2 0.178 0.322 0.000
Se3 0.678 0.178 0.000
Sb1 0.000 0.000 0.000
Se4 0.322 0.822 0.000
In2 0.859 0.359 0.500
Sb2 0.500 0.500 0.000
In3 0.641 0.859 0.500
In4 0.141 0.641 0.500